Material: K2Ca2Tl
Method: DFT, PBE-GGA
State: relaxed

Cell: 8.377 8.377 6.964 Å, 90.00 90.00 90.00°
Space group P4/mbm (No. 127)
Inequivalent atoms, fractional coordinates:
K (0.179, 0.321, 0.000) [4 per cell]
Ca (0.163, 0.663, 0.500) [4 per cell]
Tl (0.000, 0.000, 0.500) [2 per cell]

Summary:
ΔE_f	42	meV per atom
theoretical density	2.46	Mg/m³
E	-1.670	eV/atom

=====

Material: NpZn2InPt2
Method: DFT, PBE-GGA
State: relaxed

Cell: 4.4540 4.4540 6.5977 Å, 90.00 90.00 120.00°
Space group P-3m1 (No. 164)
Inequivalent atoms, fractional coordinates:
Np (0.0000, 0.0000, 0.0000) [1 per cell]
Zn (0.3333, 0.6667, 0.7155) [2 per cell]
In (0.0000, 0.0000, 0.5000) [1 per cell]
Pt (0.3333, 0.6667, 0.2533) [2 per cell]

Summary:
ΔE_f	-380	meV per atom
theoretical density	12.79	Mg/m³
E	-5.432	eV/atom